The following is a GGA-PBE calculation of Ac2TbSb3Ir4 after structural relaxation, from Alexandria.

Cell: 4.4799 4.4799 11.6534 Å, 90.00 90.00 90.00°
Last column: nearest neighbours and their distance in Å.
Positions (direct):
1 Ac 0.0000 0.5000 0.2386  6 Sb 3.42-3.78, 8 Ir 3.44-3.57, 2 Tb 3.78
2 Ac 0.5000 0.0000 0.7614  6 Sb 3.42-3.78, 8 Ir 3.44-3.57, 2 Tb 3.78
3 Tb 0.0000 0.0000 0.5000  4 Ir 2.82
4 Sb 0.0000 0.5000 0.8724  5 Ir 2.63-2.69
5 Sb 0.5000 0.0000 0.1276  5 Ir 2.63-2.69
6 Sb 0.5000 0.5000 0.5000  4 Ir 2.82
7 Ir 0.0000 0.0000 0.0000  4 Sb 2.69
8 Ir 0.0000 0.5000 0.6467  3 Sb 2.63-2.82, 2 Tb 2.82
9 Ir 0.5000 0.0000 0.3533  3 Sb 2.63-2.82, 2 Tb 2.82
10 Ir 0.5000 0.5000 0.0000  4 Sb 2.69

Calculated values
Space group: P-4m2 (115)
Total magnetization (μB per formula unit): 0.000
Energy (eV per atom): -6.76
Formation energy from raw total energies (kJ/mol of formula units): -672